Entry 1:
DFT (PBE) results for a relaxed BeNiSe crystal.

abc: 3.9904 7.5736 3.9901
angles: 92.15 51.54 80.68
Sites, in units of the cell vectors:
Be1 0.1279 0.4014 0.8046
Be2 0.1382 0.6606 0.0731
Se1 0.8381 0.2404 0.3533
Se2 0.4279 0.8217 0.5243
Ni1 0.4304 0.4020 0.1073
Ni2 0.8356 0.6600 0.7703

* total DFT energy (no corrections): -4.59 eV/atom
* uncorrected formation energy: -0.263 eV per atom
* space-group type: C2/m (12)
* magnetic moment: 0.0 μB per cell

=====

Entry 2:
DFT (PBE) results for a relaxed Hf6NbIn10 crystal.

abc: 5.9841 8.6151 8.6151
angles: 120.00 90.00 90.00
Sites, in units of the cell vectors:
Hf1 0.6994 0.3793 0.3793
Hf2 0.6994 0.0000 0.6207
Hf3 0.6994 0.6207 0.0000
Hf4 0.3006 0.6207 0.6207
Hf5 0.3006 0.0000 0.3793
Hf6 0.3006 0.3793 0.0000
Nb1 0.5000 0.0000 0.0000
In1 0.8085 0.7379 0.7379
In2 0.8085 0.0000 0.2621
In3 0.8085 0.2621 0.0000
In4 0.1915 0.2621 0.2621
In5 0.1915 0.0000 0.7379
In6 0.1915 0.7379 0.0000
In7 0.5000 0.3333 0.6667
In8 0.5000 0.6667 0.3333
In9 0.0000 0.6667 0.3333
In10 0.0000 0.3333 0.6667

* total DFT energy (no corrections): -5.66 eV/atom
* calculated formation energy: 0.053 eV per atom
* space-group type: P-31m (162)
* magnetic moment: 0.0 μB per cell

=====

Entry 3:
DFT (PBE) results for a relaxed CeTh3Sc7 crystal.

abc: 8.0561 6.7064 6.7064
angles: 120.00 90.00 90.00
Sites, in units of the cell vectors:
Ce1 0.4472 0.3333 0.6667
Th1 0.7829 0.5009 0.4991
Th2 0.7829 0.5009 0.0018
Th3 0.7829 0.9982 0.4991
Sc1 0.1189 0.1672 0.8328
Sc2 0.1189 0.1672 0.3343
Sc3 0.1233 0.6667 0.3333
Sc4 0.4463 0.8331 0.1669
Sc5 0.4463 0.3337 0.1669
Sc6 0.4463 0.8331 0.6663
Sc7 0.1189 0.6657 0.8328

* total DFT energy (no corrections): -6.36 eV/atom
* calculated formation energy: 0.230 eV per atom
* space-group type: P3m1 (156)
* magnetic moment: 0.0 μB per cell

=====

Entry 4:
DFT (PBE) results for a relaxed SnAs3Se crystal.

abc: 5.0504 5.0504 5.0504
angles: 90.00 90.00 90.00
Sites, in units of the cell vectors:
As1 0.0000 0.5000 0.0000
As2 0.0000 0.0000 0.5000
As3 0.5000 0.0000 0.0000
Sn1 0.5000 0.5000 0.5000
Se1 0.0000 0.0000 0.0000

* total DFT energy (no corrections): -3.62 eV/atom
* E above lowest polymorph: 0 meV per atom
* uncorrected formation energy: 0.668 eV per atom
* space-group type: Pm-3m (221)
* magnetic moment: 0.0 μB per cell

=====

Look up the total DFT energy (no corrections) of the fourth one. -3.62 eV/atom

=====

Copy entry 2 word for word.
DFT (PBE) results for a relaxed Hf6NbIn10 crystal.

abc: 5.9841 8.6151 8.6151
angles: 120.00 90.00 90.00
Sites, in units of the cell vectors:
Hf1 0.6994 0.3793 0.3793
Hf2 0.6994 0.0000 0.6207
Hf3 0.6994 0.6207 0.0000
Hf4 0.3006 0.6207 0.6207
Hf5 0.3006 0.0000 0.3793
Hf6 0.3006 0.3793 0.0000
Nb1 0.5000 0.0000 0.0000
In1 0.8085 0.7379 0.7379
In2 0.8085 0.0000 0.2621
In3 0.8085 0.2621 0.0000
In4 0.1915 0.2621 0.2621
In5 0.1915 0.0000 0.7379
In6 0.1915 0.7379 0.0000
In7 0.5000 0.3333 0.6667
In8 0.5000 0.6667 0.3333
In9 0.0000 0.6667 0.3333
In10 0.0000 0.3333 0.6667

* total DFT energy (no corrections): -5.66 eV/atom
* calculated formation energy: 0.053 eV per atom
* space-group type: P-31m (162)
* magnetic moment: 0.0 μB per cell

=====

Look up the total DFT energy (no corrections) of the first one. -4.59 eV/atom